The following is a DFT calculation (PBE) of a geometry-optimized Hf2Ti5Pd12 structure.

Calculated values
Space-group type = C2/m
Final energy = -128.3 eV for the cell shown

```
data_Hf2Ti5Pd12
_chemical_formula_sum 'Hf2 Ti5 Pd12'
_space_group_name_H-M_alt 'P 1'
_space_group_IT_number 1
_space_group_name_Hall 'P 1'
_cell_length_a 5.467
_cell_length_b 8.016
_cell_length_c 8.656
_cell_angle_alpha 108.06
_cell_angle_beta 90.00
_cell_angle_gamma 109.94
loop_
_atom_site_label
_atom_site_fract_x
_atom_site_fract_y
_atom_site_fract_z
Pd1 0.100 0.200 0.294
Pd2 0.090 0.680 0.401
Pd3 0.910 0.320 0.599
Pd4 0.512 0.023 0.344
Pd5 0.054 0.614 0.898
Pd6 0.560 0.614 0.898
Pd7 0.590 0.680 0.401
Pd8 0.946 0.386 0.102
Pd9 0.488 0.977 0.656
Pd10 0.440 0.386 0.102
Pd11 0.410 0.320 0.599
Pd12 0.900 0.800 0.706
Hf1 0.748 0.000 0.000
Hf2 0.252 0.000 0.000
Ti1 0.353 0.707 0.153
Ti2 0.681 0.361 0.349
Ti3 0.647 0.293 0.847
Ti4 0.319 0.639 0.651
Ti5 0.000 0.000 0.500
```

The following is a DFT calculation (PBE) of a geometry-optimized Ca8ZnN2 structure.

Calculated values
Space-group type = C2/m
Raw formation energy = -7.3 kcal/mol of atoms

```
data_Ca8ZnN2
_chemical_formula_sum 'Ca8 Zn1 N2'
_space_group_name_H-M_alt 'P 1'
_space_group_IT_number 1
_space_group_name_Hall 'P 1'
_cell_length_a 7.535
_cell_length_b 7.806
_cell_length_c 7.806
_cell_angle_alpha 57.72
_cell_angle_beta 76.13
_cell_angle_gamma 76.13
loop_
_atom_site_label
_atom_site_fract_x
_atom_site_fract_y
_atom_site_fract_z
Ca1 0.237 0.344 0.900
Ca2 0.638 0.167 0.167
Ca3 0.780 0.632 0.632
Ca4 0.362 0.833 0.833
Ca5 0.220 0.368 0.368
Ca6 0.763 0.100 0.656
Ca7 0.763 0.656 0.100
Ca8 0.237 0.900 0.344
N1 0.666 0.799 0.799
N2 0.334 0.201 0.201
Zn1 0.000 0.000 0.000
```

The following is a DFT calculation (PBE) of a geometry-optimized GdLu2In structure.

Calculated values
Space-group type = P4/mmm
Polymorph energy (0 for the lowest one) = 0 meV per atom

```
data_GdLu2In
_chemical_formula_sum 'Gd1 Lu2 In1'
_space_group_name_H-M_alt 'P 1'
_space_group_IT_number 1
_space_group_name_Hall 'P 1'
_cell_length_a 4.761
_cell_length_b 4.807
_cell_length_c 4.807
_cell_angle_alpha 90.00
_cell_angle_beta 90.00
_cell_angle_gamma 90.00
loop_
_atom_site_label
_atom_site_fract_x
_atom_site_fract_y
_atom_site_fract_z
In1 0.500 0.000 0.000
Lu1 0.000 0.000 0.500
Lu2 0.000 0.500 0.000
Gd1 0.500 0.500 0.500
```